No. 1
This record from Alexandria via LeMat-Bulk describes an optimized crystal structure of Ba4P2Cl3. The functional is GGA-PBE.

Geometry as POSCAR:
```
Ba4P2Cl3
1.0
4.9146 0.0000 0.0000
-2.4573 8.6431 -1.8156
0.0000 -1.0488 7.8303
Cl P Ba
3 2 4
Cartesian
0.0000 6.8677 3.1925
0.0000 0.0000 0.0000
2.4573 0.7266 2.8222
2.4573 4.3332 0.8269
0.0000 3.2610 5.1877
2.4573 5.2067 4.0142
2.4573 1.3021 5.9903
0.0000 2.3876 2.0005
0.0000 6.2922 0.0243
```

---

No. 2
This record from Alexandria via LeMat-Bulk describes an optimized crystal structure of CaZrIn2. The functional is GGA-PBE.

## Properties
* energy relative to the elements: -0.226 eV/atom

Geometry as POSCAR:
```
CaZrIn2
1.0
4.2240 0.0000 0.0000
0.0000 4.8381 0.0000
0.0000 0.0000 4.8381
Ca In Zr
1 2 1
Cartesian
2.1120 0.0000 2.4191
0.0000 2.4191 2.4191
0.0000 0.0000 0.0000
2.1120 2.4191 0.0000
```

---

No. 3
This record from Alexandria via LeMat-Bulk describes an optimized crystal structure of KP2W. The functional is GGA-PBE.

## Properties
* energy relative to the elements: -0.060 eV/atom

Geometry as POSCAR:
```
KP2W
1.0
-0.0845 -6.3760 2.2756
0.9918 -2.2629 -6.3036
6.0955 -4.1049 -1.2033
W K P
2 2 4
Cartesian
0.0000 0.0000 0.0000
3.2323 -7.4002 -0.4709
3.7704 -5.3436 -4.7605
0.4536 -4.3195 -2.0140
1.5802 -6.4091 0.7314
4.7384 -5.9226 -1.3107
2.0634 -8.4986 -2.0785
4.5471 -8.7706 0.7743
```

---

No. 4
This record from Alexandria via LeMat-Bulk describes an optimized crystal structure of UNiH. The functional is GGA-PBE.

Geometry as POSCAR:
```
UNiH
1.0
-0.3888 -1.3455 -2.5862
2.5448 -1.4296 0.3611
-3.2272 -1.9217 3.1573
Ni H U
1 1 1
Cartesian
0.3900 -2.4469 -0.4579
-0.9636 -4.5311 0.8298
-1.5688 -2.4156 1.4926
```

---

No. 5
This record from Alexandria via LeMat-Bulk describes an optimized crystal structure of Na3Dy3TaSe8. The functional is GGA-PBE.

Geometry as POSCAR:
```
Na3Dy3TaSe8
1.0
8.0777 0.0000 0.0000
-4.0389 6.9939 -0.0273
0.0000 -4.6387 7.1451
Se Na Ta Dy
8 3 1 3
Cartesian
1.8813 -1.2397 2.0186
-2.1576 3.5950 5.0992
2.1576 3.5950 5.0992
0.0000 2.3372 1.9017
4.0389 2.4961 2.0031
6.1965 -1.2397 2.0186
4.0389 0.0181 5.2160
0.0000 -0.1408 5.1147
0.0000 0.0000 0.0000
2.0194 3.4970 -0.0136
-2.0194 3.4970 -0.0136
0.0000 -2.3193 3.5725
4.0389 -2.3193 3.5725
2.0194 1.1776 3.5589
-2.0194 1.1776 3.5589
```

---

No. 6
This record from Alexandria via LeMat-Bulk describes an optimized crystal structure of SrZnMo2. The functional is GGA-PBE.

## Properties
* energy relative to the elements: 0.730 eV/atom

Geometry as POSCAR:
```
SrZnMo2
1.0
-2.6260 -0.9083 0.0196
0.8929 -2.5877 -0.4777
0.6041 -1.5417 9.4794
Zn Mo Sr
1 2 1
Cartesian
-0.4135 -2.9042 6.8805
0.3268 -0.8338 5.1270
0.5795 -1.4787 9.0921
-0.7155 -2.1334 2.1408
```

---

No. 7
This record from Alexandria via LeMat-Bulk describes an optimized crystal structure of Al2HgBr. The functional is GGA-PBE.

Geometry as POSCAR:
```
Al2HgBr
1.0
-3.1014 -0.8063 1.1342
0.6120 -3.2819 -0.6596
2.9506 -0.9374 7.4020
Al Hg Br
2 1 1
Cartesian
0.0978 -0.0311 0.2453
-0.5922 -2.2514 1.8742
1.1266 -2.7975 6.1861
1.3043 -0.4144 3.2720
```

---

No. 8
This record from Alexandria via LeMat-Bulk describes an optimized crystal structure of La4RhI2Cl. The functional is GGA-PBE.

Geometry as POSCAR:
```
La4RhI2Cl
1.0
4.1716 0.0000 0.0000
0.0000 7.4923 0.1246
0.0000 -2.6230 7.9423
Cl La I Rh
1 4 2 1
Cartesian
2.0858 3.7462 0.0623
2.0858 1.0955 1.5792
2.0858 3.7738 6.4876
0.0000 4.9600 1.7172
0.0000 -0.0907 6.3496
2.0858 -1.3115 3.9711
0.0000 2.4347 4.0334
0.0000 0.0000 0.0000
```

---

No. 9
This record from Alexandria via LeMat-Bulk describes an optimized crystal structure of MgScPt2. The functional is GGA-PBE.

## Properties
* energy relative to the elements: -0.871 eV/atom

Geometry as POSCAR:
```
MgScPt2
1.0
-2.8737 0.8164 -0.1174
-1.1444 -4.0562 -0.1952
-0.2792 -0.1873 5.5305
Sc Mg Pt
1 1 2
Cartesian
-0.1286 -0.0863 2.5474
-2.2317 -1.7692 4.2534
-0.2657 -0.1782 5.2618
-2.0902 -1.6743 1.4509
```

---

No. 10
This record from Alexandria via LeMat-Bulk describes an optimized crystal structure of NbGe3Pt. The functional is GGA-PBE.

## Properties
* energy relative to the elements: 0.864 eV/atom

Geometry as POSCAR:
```
NbGe3Pt
1.0
-3.5073 -1.0169 3.3475
-0.0722 -4.7179 -1.5089
3.4978 -1.1171 3.3254
Ge Pt Nb
3 1 1
Cartesian
-0.0361 -2.3590 -0.7545
-1.7537 -0.5085 1.6737
1.7489 -0.5586 1.6627
-0.0409 -3.4260 2.5820
0.0000 0.0000 0.0000
```

---

No. 11
This record from Alexandria via LeMat-Bulk describes an optimized crystal structure of Rb2SrHgBr6. The functional is GGA-PBE.

Geometry as POSCAR:
```
Rb2SrHgBr6
1.0
-6.4042 -3.1269 4.1510
1.1093 -3.1585 7.5454
-2.9385 3.6906 6.5004
Br Rb Hg Sr
6 2 1 1
Cartesian
-6.6530 -3.7147 10.2324
-4.6864 -0.5508 12.0119
-6.3426 0.6879 8.4838
-0.7921 -2.5109 10.0998
-4.2508 -1.1204 5.4025
-2.3396 1.2157 9.1642
-2.6402 2.2620 5.8664
-3.9476 -2.1687 8.6994
-1.8256 -1.7970 4.0330
-5.9422 -3.0941 13.1311
```

---

No. 12
This record from Alexandria via LeMat-Bulk describes an optimized crystal structure of ReSbRu2. The functional is GGA-PBE.

Geometry as POSCAR:
```
ReSbRu2
1.0
3.0360 0.0000 0.0000
0.0000 4.6274 0.0000
0.0000 0.0000 4.5007
Re Ru Sb
1 2 1
Cartesian
0.0000 2.3137 2.2504
0.0000 0.0000 0.0000
1.5180 2.3137 0.0000
1.5180 0.0000 2.2504
```

---

No. 13
This record from Alexandria via LeMat-Bulk describes an optimized crystal structure of NiSnBi. The functional is GGA-PBE.

## Properties
* energy relative to the elements: -0.033 eV/atom

Geometry as POSCAR:
```
NiSnBi
1.0
4.0552 -0.0004 0.2065
-0.0003 5.2217 0.0003
-1.6635 -0.0005 6.4932
Sn Ni Bi
2 2 2
Cartesian
-0.4201 3.7673 2.8816
-0.5425 1.1565 4.9508
1.5456 2.4625 4.0192
1.5456 5.0738 4.0193
1.4711 3.7673 6.3518
1.6326 1.1561 1.6859
```

---

No. 14
This record from Alexandria via LeMat-Bulk describes an optimized crystal structure of Sn2BiPt. The functional is GGA-PBE.

## Properties
* energy relative to the elements: -0.171 eV/atom

Geometry as POSCAR:
```
Sn2BiPt
1.0
-2.8378 0.9919 -2.0167
-2.1128 -2.5190 -1.5148
-7.3651 -0.5416 6.8484
Sn Pt Bi
2 1 1
Cartesian
-5.5217 -0.5311 4.2597
-6.7940 -1.5376 -0.9427
-6.1578 -1.0343 1.6585
0.0000 0.0000 0.0000
```

---

No. 15
This record from Alexandria via LeMat-Bulk describes an optimized crystal structure of TlAgSnSb. The functional is GGA-PBE.

Geometry as POSCAR:
```
TlAgSnSb
1.0
3.2254 -0.0002 0.0029
-0.0002 3.2254 -0.0029
-0.0113 0.0113 10.1319
Tl Sn Sb Ag
1 1 1 1
Cartesian
2.0714 1.1538 9.8694
0.4666 2.7586 6.8889
0.4671 2.7581 2.6519
2.0794 1.1458 4.7901
```

---

No. 16
This record from Alexandria via LeMat-Bulk describes an optimized crystal structure of MgMnCr2. The functional is GGA-PBE.

## Properties
* energy relative to the elements: 0.380 eV/atom

Geometry as POSCAR:
```
MgMnCr2
1.0
3.1116 0.0000 0.0000
0.0000 3.1173 0.0000
0.0000 0.0000 5.8065
Cr Mn Mg
2 1 1
Cartesian
0.0000 0.0000 5.4011
0.0000 0.0000 3.3087
1.5558 1.5586 4.3549
1.5558 1.5586 1.4516
```

---

No. 17
This record from Alexandria via LeMat-Bulk describes an optimized crystal structure of Pm3HRh. The functional is GGA-PBE.

Geometry as POSCAR:
```
Pm3HRh
1.0
-6.0267 0.5935 2.0949
-2.3594 -3.0034 -5.9367
0.6954 -10.2296 4.8989
Pm H Rh
12 4 4
Cartesian
-5.3007 -6.0145 3.7468
-4.8869 -7.6731 0.2245
-3.0263 -1.6944 -0.7343
-1.5175 -9.3933 0.3698
-2.0756 -7.7204 3.9423
-4.6644 -10.9452 1.7914
-5.6150 -4.9191 -2.8851
-6.1731 -3.2463 0.6873
-2.8038 -4.9664 0.8326
-5.0783 -9.2865 5.3137
-2.3900 -6.6250 -2.6897
-2.6124 -3.3530 -4.2566
-0.5777 -8.3920 2.3272
-3.7797 -9.6945 0.0618
-7.1129 -4.2475 -1.2701
-3.9110 -2.9450 0.9953
-2.6656 -4.8181 3.4969
-3.0133 0.2968 1.0475
-0.8320 -6.6165 -0.5189
-1.1797 -1.5017 -2.9683
```

---

No. 18
This record from Alexandria via LeMat-Bulk describes an optimized crystal structure of TlS6Cl2. The functional is GGA-PBE.

Geometry as POSCAR:
```
TlS6Cl2
1.0
12.5953 -0.1182 -2.2059
-0.3236 4.6094 -2.0951
0.0333 -0.6637 4.6778
S Cl Tl
6 2 1
Cartesian
5.0302 0.1266 1.9922
9.1676 2.9315 -1.1098
4.8989 1.9955 1.1428
3.1373 0.8960 1.4867
7.2748 3.7009 -1.6154
7.4060 1.8320 -0.7659
10.8332 0.8465 0.1887
1.4717 2.9811 0.1882
0.0000 0.0000 0.0000
```

---

No. 19
This record from Alexandria via LeMat-Bulk describes an optimized crystal structure of KSc2AlO. The functional is GGA-PBE.

Geometry as POSCAR:
```
KSc2AlO
1.0
5.1667 0.0000 0.0000
0.0000 6.0214 0.0000
0.0000 0.0000 5.1667
Sc Al K O
2 1 1 1
Cartesian
0.0000 0.0000 2.5834
2.5834 0.0000 0.0000
0.0000 0.0000 0.0000
0.0000 3.0107 0.0000
2.5834 3.0107 2.5834
```

---

No. 20
This record from Alexandria via LeMat-Bulk describes an optimized crystal structure of NaLi5Bi2. The functional is GGA-PBE.

## Properties
* energy relative to the elements: -0.331 eV/atom

Geometry as POSCAR:
```
NaLi5Bi2
1.0
6.6217 0.0062 -0.0017
0.0063 6.6217 -0.0017
-3.3153 -3.3153 3.9354
Li Bi Na
5 2 1
Cartesian
-1.6525 1.6505 3.7141
-1.6558 -1.6558 3.7150
1.6505 -1.6526 3.7141
3.3135 3.3134 1.7490
1.6533 1.6533 3.7134
3.3102 0.0027 1.7478
0.0028 3.3102 1.7479
-0.0010 -0.0010 1.7429
```

---

no.,electronic total energy (eV per atom),magnetic moment (μB per formula unit)
1,-4.33,1.08
2,-4.23,0.58
3,-6.28,0.00
4,-6.58,1.28
5,-5.29,1.00
6,-5.42,0.00
7,-2.33,0.00
8,-5.14,0.00
9,-5.87,0.00
10,-5.13,0.00
11,-2.84,0.00
12,-8.34,0.00
13,-4.59,0.00
14,-4.65,0.00
15,-3.27,0.00
16,-7.12,0.94
17,-5.39,0.00
18,-3.35,0.00
19,-3.81,0.00
20,-2.66,0.00